1:
# ScTcOs (GGA-PBE, relaxed)
data_ScTcOs
_chemical_formula_sum 'Sc4 Tc4 Os4'
_space_group_name_H-M_alt 'C m c m'
_space_group_IT_number 63
_space_group_name_Hall '-C 2c 2'
_cell_length_a 3.1101
_cell_length_b 13.7902
_cell_length_c 4.4881
_cell_angle_alpha 90.00
_cell_angle_beta 90.00
_cell_angle_gamma 90.00
loop_
_atom_site_label
_atom_site_fract_x
_atom_site_fract_y
_atom_site_fract_z
_atom_site_occupancy
Sc1 0.0000 0.0815 0.2500 1
Tc1 0.0000 0.2462 0.7500 1
Os1 0.0000 0.4077 0.2500 1
# total magnetic moment: 0.0 μB/f.u.

2:
# ScTcOs (GGA-PBE, relaxed)
data_ScTcOs
_chemical_formula_sum 'Sc2 Tc2 Os2'
_space_group_name_H-M_alt 'I 4 m m'
_space_group_IT_number 107
_space_group_name_Hall 'I 4 -2'
_cell_length_a 2.9464
_cell_length_b 2.9464
_cell_length_c 11.5324
_cell_angle_alpha 90.00
_cell_angle_beta 90.00
_cell_angle_gamma 90.00
loop_
_atom_site_label
_atom_site_fract_x
_atom_site_fract_y
_atom_site_fract_z
_atom_site_occupancy
Sc1 0.0000 0.0000 0.0000 1
Tc1 0.0000 0.0000 0.3115 1
Os1 0.0000 0.0000 0.6786 1
# total magnetic moment: 0.0 μB/f.u.

3:
# ScTcOs (GGA-PBE, relaxed)
data_ScTcOs
_chemical_formula_sum 'Sc4 Tc4 Os4'
_space_group_name_H-M_alt 'I m m 2'
_space_group_IT_number 44
_cell_length_a 3.8628
_cell_length_b 14.2899
_cell_length_c 3.8688
_cell_angle_alpha 90.00
_cell_angle_beta 90.00
_cell_angle_gamma 90.00
loop_
_space_group_symop_operation_xyz
'x,y,z'
'-x,-y,z'
'-x,y,z'
'x,-y,z'
'x+1/2,y+1/2,z+1/2'
'-x+1/2,-y+1/2,z+1/2'
'-x+1/2,y+1/2,z+1/2'
'x+1/2,-y+1/2,z+1/2'
loop_
_atom_site_label
_atom_site_fract_x
_atom_site_fract_y
_atom_site_fract_z
_atom_site_occupancy
Sc1 0.0000 0.1772 0.0000 1
Tc1 0.0000 0.0000 0.5872 1
Tc2 0.0000 0.5000 0.5022 1
Os1 0.0000 0.3761 0.9759 1
# total magnetic moment: 0.0 μB/f.u.

Q: Which of them is the least stable? A: 3.

1:
# Sc4TcOs (GGA-PBE, relaxed)
data_Sc4TcOs
_chemical_formula_sum 'Sc4 Tc1 Os1'
_space_group_name_H-M_alt 'P 4/m m m'
_space_group_IT_number 123
_space_group_name_Hall '-P 4 2'
_cell_length_a 4.4989
_cell_length_b 4.4989
_cell_length_c 6.3606
_cell_angle_alpha 90.00
_cell_angle_beta 90.00
_cell_angle_gamma 90.00
loop_
_atom_site_label
_atom_site_fract_x
_atom_site_fract_y
_atom_site_fract_z
_atom_site_occupancy
Sc1 0.0000 0.5000 0.2498 1
Tc1 0.0000 0.0000 0.0000 1
Os1 0.5000 0.5000 0.5000 1
# total magnetic moment: 0.0 μB/f.u.

2:
# Sc4TcOs (GGA-PBE, relaxed)
data_Sc4TcOs
_chemical_formula_sum 'Sc4 Tc1 Os1'
_space_group_name_H-M_alt 'P 4/m m m'
_space_group_IT_number 123
_space_group_name_Hall '-P 4 2'
_cell_length_a 3.2705
_cell_length_b 3.2705
_cell_length_c 11.2345
_cell_angle_alpha 90.00
_cell_angle_beta 90.00
_cell_angle_gamma 90.00
loop_
_atom_site_label
_atom_site_fract_x
_atom_site_fract_y
_atom_site_fract_z
_atom_site_occupancy
Sc1 0.0000 0.0000 0.1343 1
Sc2 0.5000 0.5000 0.3643 1
Tc1 0.5000 0.5000 0.0000 1
Os1 0.0000 0.0000 0.5000 1
# total magnetic moment: 0.0 μB/f.u.

3:
# Sc4TcOs (GGA-PBE, relaxed)
data_Sc4TcOs
_chemical_formula_sum 'Sc16 Tc4 Os4'
_space_group_name_H-M_alt 'F -4 3 m'
_space_group_IT_number 216
_space_group_name_Hall 'F -4 2 3'
_cell_length_a 7.6190
_cell_length_b 7.6190
_cell_length_c 7.6190
_cell_angle_alpha 90.00
_cell_angle_beta 90.00
_cell_angle_gamma 90.00
loop_
_atom_site_label
_atom_site_fract_x
_atom_site_fract_y
_atom_site_fract_z
_atom_site_occupancy
Sc1 0.1252 0.1252 0.1252 1
Tc1 0.2500 0.2500 0.7500 1
Os1 0.0000 0.0000 0.5000 1
# total magnetic moment: 0.0 μB/f.u.

Q: Which of them is the least stable? A: 3.